Here is KAs2Pt4 after structural relaxation from the Alexandria database. Energies are from GGA-PBE.

Cell and atoms, written as CIF:
```
data_KAs2Pt4
_symmetry_space_group_name_H-M 'P 1'
_symmetry_Int_Tables_number 1
_cell_length_a 3.913
_cell_length_b 8.132
_cell_length_c 8.132
_cell_angle_alpha 90.00
_cell_angle_beta 90.00
_cell_angle_gamma 90.00
loop_
_symmetry_equiv_pos_as_xyz
'x,y,z'
loop_
_atom_site_label
_atom_site_type_symbol
_atom_site_fract_x
_atom_site_fract_y
_atom_site_fract_z
_atom_site_occupancy
Pt1 Pt 0.500 0.160 0.589 1
Pt2 Pt 0.000 0.340 0.089 1
K1 K 0.000 0.500 0.500 1
Pt3 Pt 0.000 0.660 0.911 1
As1 As 0.500 0.720 0.720 1
K2 K 0.500 0.000 0.000 1
As2 As 0.500 0.280 0.280 1
As3 As 0.000 0.220 0.780 1
Pt4 Pt 0.500 0.411 0.840 1
Pt5 Pt 0.000 0.911 0.660 1
Pt6 Pt 0.500 0.589 0.160 1
Pt7 Pt 0.500 0.840 0.411 1
As4 As 0.000 0.780 0.220 1
Pt8 Pt 0.000 0.089 0.340 1
```

Output
**Calculated volume**: 259 Å³/cell
**Formation energy**: -322 meV/atom